VASP calculation (PBE) on an optimized crystal structure of PmSc5Zn6.

a b c (Å): 4.7888 6.8770 8.3327
angles (deg): 114.37 106.70 90.00
Atoms (fractional coordinates):
Sc1 0.6640 0.1640 0.3280
Sc2 0.3312 0.3312 0.6624
Sc3 0.0000 0.5000 0.0000
Sc4 0.6688 0.6688 0.3376
Sc5 0.3360 0.8360 0.6720
Zn1 0.8273 0.5638 0.6546
Zn2 0.8273 0.0908 0.6546
Zn3 0.5000 0.7248 0.0000
Zn4 0.5000 0.2752 0.0000
Zn5 0.1727 0.9092 0.3454
Zn6 0.1727 0.4362 0.3454
Pm1 0.0000 0.0000 0.0000

Properties
SG	No. 71
DFT total energy	-4.011	eV per atom
calculated formation energy	-340.4	meV per atom
size of the total moment	0.01	μB per formula unit